# 1
Here is a relaxed BaOsCl6 crystal from Alexandria. Energies are from PBE.

Unit cell a=6.198 b=6.277 c=6.277 alpha=103.47 beta=102.45 gamma=102.45
Fractional coordinates of all 8 atoms:
Cl: 0.716 0.717 0.050
Cl: 0.057 0.717 0.717
Cl: 0.943 0.283 0.283
Cl: 0.716 0.050 0.717
Cl: 0.284 0.950 0.283
Cl: 0.284 0.283 0.950
Ba: 0.500 0.500 0.500
Os: 0.000 0.000 0.000

The value obtained for the energy relative to the lowest polymorph listed for this composition is 0.000 eV per atom. The value obtained for the volume is 27.83 Å³ per atom. As for the uncorrected formation energy: -9.283 eV/f.u. The value obtained for the total energy is -4.189 eV per atom. For the total moment, the calculation gives 2.0 μB/f.u.


# 2
Here is a relaxed BaOs2Cl crystal from Alexandria. Energies are from PBE.

Unit cell a=6.716 b=6.716 c=4.661 alpha=81.16 beta=81.16 gamma=32.97
Fractional coordinates of all 4 atoms:
Os: 0.500 0.500 0.609
Os: 0.000 0.000 0.891
Ba: 0.750 0.750 0.750
Cl: 0.250 0.250 0.250

The value obtained for the energy relative to the lowest polymorph listed for this composition is 0.362 eV per atom. The value obtained for the volume is 28.23 Å³ per atom. As for the uncorrected formation energy: 1.474 eV/f.u. The value obtained for the total energy is -6.189 eV per atom. For the total moment, the calculation gives 0.0 μB/f.u.


# 3
Here is a relaxed BaOs2Cl crystal from Alexandria. Energies are from PBE.

Unit cell a=4.957 b=4.957 c=4.957 alpha=60.00 beta=60.00 gamma=60.00
Fractional coordinates of all 4 atoms:
Cl: 0.000 0.000 0.000
Os: 0.250 0.250 0.250
Os: 0.750 0.750 0.750
Ba: 0.500 0.500 0.500

The value obtained for the energy relative to the lowest polymorph listed for this composition is 2.039 eV per atom. The value obtained for the volume is 21.53 Å³ per atom. As for the uncorrected formation energy: 8.186 eV/f.u. The value obtained for the total energy is -4.511 eV per atom. For the total moment, the calculation gives 3.5 μB/f.u.


# 4
Here is a relaxed BaOsCl2 crystal from Alexandria. Energies are from PBE.

Unit cell a=5.281 b=5.281 c=8.531 alpha=71.97 beta=71.97 gamma=90.00
Fractional coordinates of all 8 atoms:
Os: 0.750 0.250 0.500
Os: 0.000 0.000 0.000
Cl: 0.739 0.125 0.250
Cl: 0.375 0.261 0.750
Cl: 0.011 0.625 0.250
Cl: 0.875 0.989 0.750
Ba: 0.500 0.500 0.000
Ba: 0.250 0.750 0.500

The value obtained for the energy relative to the lowest polymorph listed for this composition is 0.262 eV per atom. The value obtained for the volume is 26.74 Å³ per atom. As for the uncorrected formation energy: -0.540 eV/f.u. The value obtained for the total energy is -4.346 eV per atom. For the total moment, the calculation gives 0.0 μB/f.u.


# 5
Here is a relaxed BaOsCl2 crystal from Alexandria. Energies are from PBE.

Unit cell a=4.218 b=4.222 c=6.033 alpha=90.00 beta=90.00 gamma=90.00
Fractional coordinates of all 4 atoms:
Ba: 0.500 0.500 0.786
Cl: 0.000 0.000 0.992
Cl: 0.500 0.500 0.297
Os: 0.000 0.000 0.425

The value obtained for the energy relative to the lowest polymorph listed for this composition is 0.433 eV per atom. The value obtained for the volume is 26.86 Å³ per atom. As for the uncorrected formation energy: 0.144 eV/f.u. The value obtained for the total energy is -4.175 eV per atom. For the total moment, the calculation gives 3.2 μB/f.u.


# 6
Here is a relaxed BaOsCl2 crystal from Alexandria. Energies are from PBE.

Unit cell a=3.919 b=5.034 c=5.037 alpha=79.81 beta=90.00 gamma=90.00
Fractional coordinates of all 4 atoms:
Cl: 0.000 0.435 0.436
Cl: 0.000 0.065 0.064
Ba: 0.500 0.750 0.750
Os: 0.500 0.250 0.250

The value obtained for the energy relative to the lowest polymorph listed for this composition is 0.080 eV per atom. The value obtained for the volume is 24.45 Å³ per atom. As for the uncorrected formation energy: -1.269 eV/f.u. The value obtained for the total energy is -4.529 eV per atom. For the total moment, the calculation gives 0.0 μB/f.u.